This record from the Alexandria database describes a relaxed structure of CdNiSe2. The functional is PBE.

```
CdNiSe2
1.0
-4.2083 -6.9045 1.3476
-1.7478 -6.9459 3.9871
-4.7774 -5.0238 4.3745
Ni Se Cd
1 2 1
Cartesian
-5.3668 -9.4371 4.8546 Ni
-9.5017 -16.7080 8.5948 Se
-1.2319 -2.1662 1.1143 Se
0.0000 0.0000 0.0000 Cd
```

***

This record from the Alexandria database describes a relaxed structure of CdNiSe2. The functional is PBE.

```
CdNiSe2
1.0
3.3211 0.0000 0.0000
0.0000 2.8159 0.0000
0.0000 0.0000 8.3591
Cd Ni Se
1 1 2
Cartesian
1.6605 1.4080 2.0898 Cd
1.6605 1.4080 6.2693 Ni
0.0000 0.0000 7.8055 Se
0.0000 0.0000 4.7332 Se
```

***

This record from the Alexandria database describes a relaxed structure of Cd2NiSe. The functional is PBE.

```
Cd2NiSe
1.0
6.3366 0.0000 0.0000
0.0000 6.3366 0.0000
3.1683 3.1683 5.5243
Ni Se Cd
2 2 4
Cartesian
3.1683 3.1683 0.0000 Ni
3.1683 6.3366 2.7621 Ni
0.0000 0.0000 0.0000 Se
6.3366 3.1683 2.7621 Se
4.6543 1.5841 1.3811 Cd
1.6823 4.7524 1.3811 Cd
4.7524 4.8506 4.1432 Cd
7.9207 7.8226 4.1432 Cd
```

***

This record from the Alexandria database describes a relaxed structure of Cd2NiSe. The functional is PBE.

```
Cd2NiSe
1.0
-3.7717 5.7203 -1.7953
-5.9963 3.6627 -0.8939
-0.4735 1.9127 3.1975
Cd Ni Se
2 1 1
Cartesian
-1.1027 2.4195 2.8014 Cd
-4.4914 5.1410 0.6503 Cd
-7.6811 8.4717 0.3812 Ni
-2.5604 2.8239 0.1271 Se
```

***

This record from the Alexandria database describes a relaxed structure of Cd2NiSe. The functional is PBE.

```
Cd2NiSe
1.0
4.3826 0.0000 0.0000
0.0000 4.3958 0.0000
0.0000 0.0000 3.8979
Cd Ni Se
2 1 1
Cartesian
0.0000 0.0000 0.0000 Cd
2.1913 2.1979 0.0000 Cd
2.1913 0.0000 1.9490 Ni
0.0000 2.1979 1.9490 Se
```

***

This record from the Alexandria database describes a relaxed structure of CdNiSe2. The functional is PBE.

```
CdNiSe2
1.0
8.1873 1.1763 0.0000
5.9013 5.7957 0.0000
-7.0443 -3.4860 2.5770
Cd Ni Se
1 1 2
Cartesian
7.0443 3.4860 0.0000 Cd
4.0936 0.5882 1.2885 Ni
0.0000 0.0000 0.0000 Se
2.9507 2.8978 1.2885 Se
```

***

This record from the Alexandria database describes a relaxed structure of Cd2NiSe. The functional is PBE.

```
Cd2NiSe
1.0
4.7496 0.0000 0.0000
2.3748 4.1132 0.0000
2.3748 1.3711 3.8780
Cd Ni Se
2 1 1
Cartesian
0.0000 0.0000 0.0000 Cd
2.3748 1.3711 0.9695 Cd
4.7496 2.7422 1.9390 Ni
7.1243 4.1132 2.9085 Se
```

***

This record from the Alexandria database describes a relaxed structure of CdNiSnSe2. The functional is PBE.

```
CdNiSnSe2
1.0
4.8672 0.0000 0.0000
0.0000 4.8620 0.0000
0.0000 0.0000 4.8672
Ni Sn Se Cd
1 1 2 1
Cartesian
0.0000 0.0000 0.0000 Ni
2.4336 2.4310 2.4336 Sn
0.0000 0.0000 2.4336 Se
2.4336 0.0000 0.0000 Se
0.0000 2.4310 0.0000 Cd
```

***

This record from the Alexandria database describes a relaxed structure of CdSi2Ni2. The functional is PBE.

```
CdSi2Ni2
1.0
7.1937 0.0000 0.0000
0.0000 7.1937 0.0000
0.0000 0.0000 2.6232
Ni Si Cd
4 4 2
Cartesian
1.2156 4.8124 1.3116 Ni
4.8124 5.9782 1.3116 Ni
5.9782 2.3813 1.3116 Ni
2.3813 1.2156 1.3116 Ni
2.7004 6.2973 0.0000 Si
6.2973 4.4933 0.0000 Si
4.4933 0.8964 0.0000 Si
0.8964 2.7004 0.0000 Si
0.0000 0.0000 0.0000 Cd
3.5969 3.5969 0.0000 Cd
```

***

CdSiNi2 PBE optimized geometry; offset from the most stable computed form = 245 meV/atom
1.0
-3.8652 -2.4403 -2.3782
-2.4797 -3.9394 2.2098
1.4237 4.9154 0.6021
Cd Ni Si
1 2 1
Cartesian
-2.2527 -1.2462 1.3602 Cd
-6.3127 -6.3473 -0.1676 Ni
-2.5283 -0.0772 -0.9227 Ni
-3.3449 -3.3632 -0.0888 Si

***

CdSiNi2 PBE optimized geometry; offset from the most stable computed form = 246 meV/atom
1.0
-3.2512 -2.3153 1.3675
-1.7982 0.8751 3.7151
-3.8727 1.6695 0.1281
Ni Si Cd
2 1 1
Cartesian
-2.2305 0.0573 1.3027 Ni
-6.6916 0.1719 3.9080 Ni
0.0000 0.0000 0.0000 Si
-4.4611 0.1146 2.6053 Cd

***

CdSiNi2 PBE optimized geometry; offset from the most stable computed form = 193 meV/atom
1.0
3.8495 0.0003 -0.0018
2.8783 2.5562 -0.0018
0.8510 0.3234 5.8237
Cd Ni Si
1 2 1
Cartesian
1.8947 0.7200 1.4550 Cd
0.8868 0.3370 5.4475 Ni
3.7536 1.4263 3.2861 Ni
5.6841 2.1599 4.3650 Si

***

Respective energy relative to the elements, uncorrected values: -0.195, 0.139, 0.299, -0.051, 0.134, 0.182, 0.213, 0.092, -0.090, -0.055, -0.055, -0.107 eV/atom.
Respective N(E_F) values: 0.589, 0.770, 0.000, 0.309, 0.407, 0.829, 0.104, 0.537, 0.813, 0.271, 0.546, 0.424 states/eV/atom.
Respective magnetization values: 0.000, 0.001, 0.000, 0.000, 0.000, 1.070, 0.000, 0.000, 0.000, 0.000, 0.000, 0.000 Bohr magnetons per cell.